Record 1
# Nd2Zn3InCu12

A relaxed Nd2Zn3InCu12 crystal (GGA-PBE, the Alexandria database).

```
Nd2Zn3InCu12
1.0
-5.8339 0.2126 4.4946
-2.8822 -6.7363 0.7726
1.7451 -2.7896 6.5920
Nd In Zn Cu
2 1 3 12
Direct
0.4010 0.4010 0.4010
0.5990 0.5990 0.5990
0.0000 0.0000 0.0000
0.0000 0.5000 0.0000
0.5000 0.0000 0.0000
0.0000 0.0000 0.5000
0.1510 0.6434 0.1510
0.3758 0.0009 0.3758
0.3566 0.8490 0.8490
0.3758 0.3758 0.0009
0.6242 0.9991 0.6242
0.6434 0.1510 0.1510
0.9991 0.6242 0.6242
0.6242 0.6242 0.9991
0.8490 0.8490 0.3566
0.0009 0.3758 0.3758
0.8490 0.3566 0.8490
0.1510 0.1510 0.6434
```

Summary:
- Crystal system: trigonal
- Energy of formation: 5.18 eV/f.u.
- Magnetic moment: 0.00 μB per cell
- Volume: 18.88 Å³ per atom
- SG: R-3m
- D(E_F): 0.43 states/eV per atom

Record 2
# InCu3Ni

A relaxed InCu3Ni crystal (GGA-PBE, the Alexandria database).

```
InCu3Ni
1.0
4.7315 0.0000 0.0000
0.0000 4.7315 0.0000
0.0000 0.0000 4.7315
In Ni Cu
1 1 3
Direct
0.0000 0.0000 0.0000
0.5000 0.5000 0.5000
0.0000 0.0000 0.5000
0.0000 0.5000 0.0000
0.5000 0.0000 0.0000
```

Summary:
- Crystal system: cubic
- Energy of formation: 6.45 eV/f.u.
- Magnetic moment: 0.46 μB per cell
- Volume: 21.19 Å³ per atom
- SG: Pm-3m
- D(E_F): 0.89 states/eV per atom

Record 3
# In2CuNi2

A relaxed In2CuNi2 crystal (GGA-PBE, the Alexandria database).

```
In2CuNi2
1.0
7.3114 0.0000 0.0000
0.0000 7.3114 0.0000
0.0000 0.0000 3.0093
In Cu Ni
4 2 4
Direct
0.8394 0.6606 0.0000
0.3394 0.8394 0.0000
0.1606 0.3394 0.0000
0.6606 0.1606 0.0000
0.0000 0.0000 0.0000
0.5000 0.5000 0.0000
0.8639 0.3639 0.5000
0.3639 0.1361 0.5000
0.6361 0.8639 0.5000
0.1361 0.6361 0.5000
```

Summary:
- Crystal system: tetragonal
- Energy of formation: 0.49 eV/f.u.
- Magnetic moment: 0.00 μB per cell
- Volume: 16.09 Å³ per atom
- SG: P4/mbm
- D(E_F): 0.53 states/eV per atom

Record 4
# InCu2Ni

A relaxed InCu2Ni crystal (GGA-PBE, the Alexandria database).

```
InCu2Ni
1.0
-0.9638 2.9605 0.5490
-2.6839 -1.1060 1.2525
2.4411 -0.1506 5.0980
In Cu Ni
1 2 1
Direct
0.5000 0.5000 0.2500
0.0000 0.0000 0.5332
0.0000 0.0000 0.9668
0.5000 0.5000 0.7500
```

Summary:
- Crystal system: tetragonal
- Energy of formation: 0.31 eV/f.u.
- Magnetic moment: 0.00 μB per cell
- Volume: 14.13 Å³ per atom
- SG: P4/mmm
- D(E_F): 0.55 states/eV per atom

So what do the calculations give for final energy? Going down the list: -3.3370 -2.8721 -4.1299 -4.0999 eV per atom.